# 1
The following is a DFT calculation (GGA-PBE) of an optimized crystal structure of KLi2W.

Lattice parameters (Å, degrees): 2.810 2.810 10.666 90.00 90.00 90.00
Space group P4/mmm (No. 123)
One atom of each set of equivalent atoms:
K1 0.000 0.000 0.000
Li1 0.500 0.500 0.305
W1 0.000 0.000 0.500

# 2
The following is a DFT calculation (GGA-PBE) of an optimized crystal structure of KLiW2.

Lattice parameters (Å, degrees): 3.735 3.735 5.794 90.00 90.00 90.00
Space group P4/mmm (No. 123)
One atom of each set of equivalent atoms:
K1 0.000 0.000 0.000
Li1 0.500 0.500 0.000
W1 0.000 0.500 0.500

no.,density of states at the Fermi level (states/eV per cell),excess energy over the best structure of this formula in the dataset (meV per atom),calculated formation energy (meV/atom)
1,4.005,10,779
2,4.560,597,1344